P:
! FeRePt2 PBE relaxed; values from VASP
&SYSTEM
  ibrav = 0, nat = 4, ntyp = 3
/
ATOMIC_SPECIES
Fe 55.84 Fe.upf
Re 186.21 Re.upf
Pt 195.08 Pt.upf
ATOMIC_POSITIONS crystal
Fe 0.000 0.000 0.000
Re 0.500 0.500 0.757
Pt 0.000 0.000 0.501
Pt 0.500 0.500 0.228
CELL_PARAMETERS angstrom
3.233 0.000 0.000
0.000 3.233 0.000
0.000 0.000 5.624
! Space-group type: P4mm
! Magnetic moment in μB per cell: 2.6
! ρ in g/cm3: 17.9

---

Q:
! FeRePt2 PBE relaxed; values from VASP
&SYSTEM
  ibrav = 0, nat = 4, ntyp = 3
/
ATOMIC_SPECIES
Fe 55.84 Fe.upf
Re 186.21 Re.upf
Pt 195.08 Pt.upf
ATOMIC_POSITIONS crystal
Fe 0.000 0.000 0.000
Re 0.500 0.500 0.000
Pt 0.000 0.500 0.500
Pt 0.500 0.000 0.500
CELL_PARAMETERS angstrom
2.713 -3.995 0.000
2.713 3.995 0.000
0.000 0.000 2.704
! Space-group type: Cmmm
! Magnetic moment in μB per cell: 3.4
! ρ in g/cm3: 17.9

---

R:
! FeRePt2 PBE relaxed; values from VASP
&SYSTEM
  ibrav = 0, nat = 4, ntyp = 3
/
ATOMIC_SPECIES
Fe 55.84 Fe.upf
Re 186.21 Re.upf
Pt 195.08 Pt.upf
ATOMIC_POSITIONS crystal
Fe 0.000 0.000 0.000
Re 0.500 0.500 0.000
Pt 0.000 0.500 0.500
Pt 0.500 0.000 0.500
CELL_PARAMETERS angstrom
3.817 0.000 0.000
0.000 3.817 0.000
0.000 0.000 3.982
! Space-group type: P4/mmm
! Magnetic moment in μB per cell: 2.9
! ρ in g/cm3: 18.1

---

S:
! FeRePt2 PBE relaxed; values from VASP
&SYSTEM
  ibrav = 0, nat = 4, ntyp = 3
/
ATOMIC_SPECIES
Fe 55.84 Fe.upf
Re 186.21 Re.upf
Pt 195.08 Pt.upf
ATOMIC_POSITIONS crystal
Fe 0.000 0.000 0.000
Re 0.000 0.000 0.500
Pt 0.500 0.500 0.251
Pt 0.500 0.500 0.749
CELL_PARAMETERS angstrom
2.719 0.000 0.000
0.000 3.980 0.000
0.000 0.000 5.390
! Space-group type: Pmmm
! Magnetic moment in μB per cell: 3.1
! ρ in g/cm3: 18.0

---

Ranking the structures above from most stable to least stable yields S, Q, R, P.